BaAsPCl2: optimized geometry, PBE.

Cell lengths 5.301, 5.301, 4.822 Å; angles 90.00, 90.00, 90.00 degrees
Positions (direct):
Ba 0.000 0.000 0.000
As 0.500 0.500 0.500
P 0.500 0.500 0.000
Cl 0.000 0.500 0.500
Cl 0.500 0.000 0.500

Results
SG: P4/mmm
ΔE to the lowest computed polymorph, meV/atom: 0
DOS at the Fermi energy, states/eV per cell: 1.188
Uncorrected formation energy, eV per atom: -0.81